(1)
Material: BTeI2N
Method: DFT, PBE
State: relaxed

Unit cell a=8.902 b=8.902 c=2.735 alpha=90.00 beta=90.00 gamma=90.00
Space group P4/mmm (No. 123)
Inequivalent atoms, fractional coordinates:
1 B 0.000 0.000 0.000 (multiplicity 1)
2 Te 0.500 0.500 0.500 (multiplicity 1)
3 I 0.000 0.500 0.000 (multiplicity 2)
4 N 0.000 0.000 0.500 (multiplicity 1)

Computed properties:
Mass density: 3.112 g/cm³
DOS at the Fermi energy: 3.26 states/eV per cell
E_form (uncorrected): 66 meV per atom
E above lowest polymorph: 0.000 eV/atom
E_tot: -4.18 eV/atom

***

(2)
Material: BTeI2N
Method: DFT, PBE
State: relaxed

Unit cell a=4.943 b=4.943 c=4.851 alpha=90.00 beta=90.00 gamma=90.00
Space group P4/mmm (No. 123)
Inequivalent atoms, fractional coordinates:
1 B 0.000 0.000 0.000 (multiplicity 1)
2 Te 0.500 0.500 0.000 (multiplicity 1)
3 I 0.000 0.500 0.500 (multiplicity 2)
4 N 0.500 0.500 0.500 (multiplicity 1)

Computed properties:
Mass density: 5.692 g/cm³
DOS at the Fermi energy: 2.05 states/eV per cell
E_form (uncorrected): 1664 meV per atom
E above lowest polymorph: 1.598 eV/atom
E_tot: -2.58 eV/atom

***

(3)
Material: TiBI2N
Method: DFT, PBE
State: relaxed

Unit cell a=5.673 b=5.673 c=3.753 alpha=90.00 beta=90.00 gamma=90.00
Space group P4/mmm (No. 123)
Inequivalent atoms, fractional coordinates:
1 Ti 0.000 0.000 0.000 (multiplicity 1)
2 B 0.500 0.500 0.500 (multiplicity 1)
3 I 0.000 0.500 0.000 (multiplicity 2)
4 N 0.000 0.000 0.500 (multiplicity 1)

Computed properties:
Mass density: 4.488 g/cm³
DOS at the Fermi energy: 1.60 states/eV per cell
E_form (uncorrected): 718 meV per atom
E above lowest polymorph: 0.328 eV/atom
E_tot: -4.48 eV/atom

***

(4)
Material: TiBI2N
Method: DFT, PBE
State: relaxed

Unit cell a=6.511 b=6.511 c=2.800 alpha=90.00 beta=90.00 gamma=90.00
Space group P4/mmm (No. 123)
Inequivalent atoms, fractional coordinates:
1 Ti 0.000 0.000 0.000 (multiplicity 1)
2 B 0.500 0.500 0.500 (multiplicity 1)
3 I 0.000 0.500 0.500 (multiplicity 2)
4 N 0.500 0.500 0.000 (multiplicity 1)

Computed properties:
Mass density: 4.568 g/cm³
DOS at the Fermi energy: 4.50 states/eV per cell
E_form (uncorrected): 389 meV per atom
E above lowest polymorph: 0.000 eV/atom
E_tot: -4.81 eV/atom

***

(5)
Material: TlBI2N
Method: DFT, PBE
State: relaxed

Unit cell a=6.934 b=6.934 c=2.861 alpha=90.00 beta=90.00 gamma=90.00
Space group P4/mmm (No. 123)
Inequivalent atoms, fractional coordinates:
1 Tl 0.000 0.000 0.000 (multiplicity 1)
2 B 0.500 0.500 0.500 (multiplicity 1)
3 I 0.000 0.500 0.500 (multiplicity 2)
4 N 0.500 0.500 0.000 (multiplicity 1)

Computed properties:
Mass density: 5.832 g/cm³
DOS at the Fermi energy: 2.46 states/eV per cell
E_form (uncorrected): -20 meV per atom
E above lowest polymorph: 0.000 eV/atom
E_tot: -4.11 eV/atom

***

(6)
Material: TlBI2N
Method: DFT, PBE
State: relaxed

Unit cell a=6.193 b=6.193 c=4.318 alpha=90.00 beta=90.00 gamma=90.00
Space group P4/mmm (No. 123)
Inequivalent atoms, fractional coordinates:
1 Tl 0.000 0.000 0.000 (multiplicity 1)
2 B 0.500 0.500 0.500 (multiplicity 1)
3 I 0.000 0.500 0.000 (multiplicity 2)
4 N 0.000 0.000 0.500 (multiplicity 1)

Computed properties:
Mass density: 4.843 g/cm³
DOS at the Fermi energy: 2.60 states/eV per cell
E_form (uncorrected): 1692 meV per atom
E above lowest polymorph: 1.713 eV/atom
E_tot: -2.40 eV/atom

***

(7)
Material: VB2IN
Method: DFT, PBE
State: relaxed

Unit cell a=3.604 b=3.604 c=6.659 alpha=90.00 beta=90.00 gamma=90.00
Space group P4/mmm (No. 123)
Inequivalent atoms, fractional coordinates:
1 V 0.000 0.000 0.000 (multiplicity 1)
2 B 0.000 0.500 0.500 (multiplicity 2)
3 I 0.500 0.500 0.000 (multiplicity 1)
4 N 0.500 0.500 0.500 (multiplicity 1)

Computed properties:
Mass density: 4.099 g/cm³
DOS at the Fermi energy: 3.94 states/eV per cell
E_form (uncorrected): 1860 meV per atom
E_tot: -4.61 eV/atom

***

(8)
Material: YBI2N
Method: DFT, PBE
State: relaxed

Unit cell a=6.168 b=6.168 c=4.140 alpha=90.00 beta=90.00 gamma=90.00
Space group P4/mmm (No. 123)
Inequivalent atoms, fractional coordinates:
1 Y 0.000 0.000 0.000 (multiplicity 1)
2 B 0.500 0.500 0.500 (multiplicity 1)
3 I 0.000 0.500 0.000 (multiplicity 2)
4 N 0.000 0.000 0.500 (multiplicity 1)

Computed properties:
Mass density: 3.875 g/cm³
DOS at the Fermi energy: 2.97 states/eV per cell
E_form (uncorrected): 764 meV per atom
E above lowest polymorph: 0.607 eV/atom
E_tot: -4.15 eV/atom